1.
# TlZn4Cl (PBE, relaxed)
data_TlZn4Cl
_chemical_formula_sum 'Tl1 Zn4 Cl1'
_cell_length_a 5.584
_cell_length_b 5.584
_cell_length_c 5.584
_cell_angle_alpha 60.00
_cell_angle_beta 60.00
_cell_angle_gamma 60.00
_symmetry_space_group_name_H-M 'P 1'
_symmetry_Int_Tables_number 1
loop_
_symmetry_equiv_pos_as_xyz
'x,y,z'
loop_
_atom_site_label
_atom_site_type_symbol
_atom_site_fract_x
_atom_site_fract_y
_atom_site_fract_z
Tl1 Tl 0.000 0.000 0.000
Zn1 Zn 0.125 0.625 0.625
Zn2 Zn 0.625 0.125 0.625
Zn3 Zn 0.625 0.625 0.125
Zn4 Zn 0.625 0.625 0.625
Cl1 Cl 0.250 0.250 0.250
# Symmetry ... F-43m (216)
# Calculated total energy ... -1.513 eV per atom
# E_form (uncorrected) ... 22 kJ/mol of formula units

2.
# TlZnCl3 (PBE, relaxed)
data_TlZnCl3
_chemical_formula_sum 'Tl2 Zn2 Cl6'
_cell_length_a 8.266
_cell_length_b 8.266
_cell_length_c 8.266
_cell_angle_alpha 47.41
_cell_angle_beta 47.41
_cell_angle_gamma 47.41
_symmetry_space_group_name_H-M 'P 1'
_symmetry_Int_Tables_number 1
loop_
_symmetry_equiv_pos_as_xyz
'x,y,z'
loop_
_atom_site_label
_atom_site_type_symbol
_atom_site_fract_x
_atom_site_fract_y
_atom_site_fract_z
Tl1 Tl 0.140 0.140 0.140
Tl2 Tl 0.860 0.860 0.860
Zn1 Zn 0.335 0.335 0.335
Zn2 Zn 0.665 0.665 0.665
Cl1 Cl 0.063 0.451 0.681
Cl2 Cl 0.319 0.937 0.549
Cl3 Cl 0.451 0.681 0.063
Cl4 Cl 0.549 0.319 0.937
Cl5 Cl 0.681 0.063 0.451
Cl6 Cl 0.937 0.549 0.319
# Symmetry ... R-3 (148)
# Calculated total energy ... -2.863 eV per atom
# E_form (uncorrected) ... -496 kJ/mol of formula units
# Distance to the lowest polymorph of the same formula ... 93 meV per atom

3.
# TlZnCl3 (PBE, relaxed)
data_TlZnCl3
_chemical_formula_sum 'Tl2 Zn2 Cl6'
_cell_length_a 4.580
_cell_length_b 4.580
_cell_length_c 16.273
_cell_angle_alpha 90.00
_cell_angle_beta 90.00
_cell_angle_gamma 120.00
_symmetry_space_group_name_H-M 'P 1'
_symmetry_Int_Tables_number 1
loop_
_symmetry_equiv_pos_as_xyz
'x,y,z'
loop_
_atom_site_label
_atom_site_type_symbol
_atom_site_fract_x
_atom_site_fract_y
_atom_site_fract_z
Tl1 Tl 0.000 0.000 0.000
Tl2 Tl 0.000 0.000 0.500
Zn1 Zn 0.333 0.667 0.250
Zn2 Zn 0.667 0.333 0.750
Cl1 Cl 0.000 0.000 0.250
Cl2 Cl 0.000 0.000 0.750
Cl3 Cl 0.333 0.667 0.110
Cl4 Cl 0.333 0.667 0.390
Cl5 Cl 0.667 0.333 0.610
Cl6 Cl 0.667 0.333 0.890
# Symmetry ... P6_3/mmc (194)
# Calculated total energy ... -2.842 eV per atom
# E_form (uncorrected) ... -485 kJ/mol of formula units
# Distance to the lowest polymorph of the same formula ... 115 meV per atom

4.
# TlZnCl2 (PBE, relaxed)
data_TlZnCl2
_chemical_formula_sum 'Tl1 Zn1 Cl2'
_cell_length_a 6.465
_cell_length_b 6.465
_cell_length_c 6.478
_cell_angle_alpha 101.78
_cell_angle_beta 101.78
_cell_angle_gamma 31.69
_symmetry_space_group_name_H-M 'P 1'
_symmetry_Int_Tables_number 1
loop_
_symmetry_equiv_pos_as_xyz
'x,y,z'
loop_
_atom_site_label
_atom_site_type_symbol
_atom_site_fract_x
_atom_site_fract_y
_atom_site_fract_z
Tl1 Tl 0.000 0.000 0.000
Zn1 Zn 0.378 0.378 0.254
Cl1 Cl 0.742 0.742 0.108
Cl2 Cl 0.957 0.957 0.511
# Symmetry ... Cm (8)
# Calculated total energy ... -2.491 eV per atom
# E_form (uncorrected) ... -254 kJ/mol of formula units
# Distance to the lowest polymorph of the same formula ... 45 meV per atom

5.
# TlZnCl4 (PBE, relaxed)
data_TlZnCl4
_chemical_formula_sum 'Tl1 Zn1 Cl4'
_cell_length_a 7.475
_cell_length_b 7.475
_cell_length_c 6.925
_cell_angle_alpha 116.10
_cell_angle_beta 116.10
_cell_angle_gamma 29.83
_symmetry_space_group_name_H-M 'P 1'
_symmetry_Int_Tables_number 1
loop_
_symmetry_equiv_pos_as_xyz
'x,y,z'
loop_
_atom_site_label
_atom_site_type_symbol
_atom_site_fract_x
_atom_site_fract_y
_atom_site_fract_z
Tl1 Tl 0.000 0.000 0.000
Zn1 Zn 0.500 0.500 0.500
Cl1 Cl 0.109 0.109 0.744
Cl2 Cl 0.385 0.385 0.668
Cl3 Cl 0.615 0.615 0.332
Cl4 Cl 0.891 0.891 0.256
# Symmetry ... C2/m (12)
# Calculated total energy ... -2.664 eV per atom
# E_form (uncorrected) ... -478 kJ/mol of formula units
# Distance to the lowest polymorph of the same formula ... 41 meV per atom

6.
# TlZnCl4 (PBE, relaxed)
data_TlZnCl4
_chemical_formula_sum 'Tl1 Zn1 Cl4'
_cell_length_a 6.151
_cell_length_b 6.151
_cell_length_c 6.151
_cell_angle_alpha 60.00
_cell_angle_beta 60.00
_cell_angle_gamma 60.00
_symmetry_space_group_name_H-M 'P 1'
_symmetry_Int_Tables_number 1
loop_
_symmetry_equiv_pos_as_xyz
'x,y,z'
loop_
_atom_site_label
_atom_site_type_symbol
_atom_site_fract_x
_atom_site_fract_y
_atom_site_fract_z
Tl1 Tl 0.000 0.000 0.000
Zn1 Zn 0.750 0.750 0.750
Cl1 Cl 0.375 0.375 0.375
Cl2 Cl 0.375 0.375 0.876
Cl3 Cl 0.375 0.876 0.375
Cl4 Cl 0.876 0.375 0.375
# Symmetry ... F-43m (216)
# Calculated total energy ... -1.684 eV per atom
# E_form (uncorrected) ... 89 kJ/mol of formula units
# Distance to the lowest polymorph of the same formula ... 1020 meV per atom

7.
# TlZnCl2 (PBE, relaxed)
data_TlZnCl2
_chemical_formula_sum 'Tl1 Zn1 Cl2'
_cell_length_a 6.104
_cell_length_b 6.104
_cell_length_c 6.104
_cell_angle_alpha 146.58
_cell_angle_beta 119.05
_cell_angle_gamma 71.32
_symmetry_space_group_name_H-M 'P 1'
_symmetry_Int_Tables_number 1
loop_
_symmetry_equiv_pos_as_xyz
'x,y,z'
loop_
_atom_site_label
_atom_site_type_symbol
_atom_site_fract_x
_atom_site_fract_y
_atom_site_fract_z
Tl1 Tl 0.000 0.000 0.000
Zn1 Zn 0.500 0.500 0.000
Cl1 Cl 0.330 0.830 0.500
Cl2 Cl 0.670 0.170 0.500
# Symmetry ... Immm (71)
# Calculated total energy ... -2.436 eV per atom
# E_form (uncorrected) ... -233 kJ/mol of formula units
# Distance to the lowest polymorph of the same formula ... 100 meV per atom

8.
# Tl2ZnCl4 (PBE, relaxed)
data_Tl2ZnCl4
_chemical_formula_sum 'Tl2 Zn1 Cl4'
_cell_length_a 8.614
_cell_length_b 8.614
_cell_length_c 8.614
_cell_angle_alpha 145.90
_cell_angle_beta 145.90
_cell_angle_gamma 48.99
_symmetry_space_group_name_H-M 'P 1'
_symmetry_Int_Tables_number 1
loop_
_symmetry_equiv_pos_as_xyz
'x,y,z'
loop_
_atom_site_label
_atom_site_type_symbol
_atom_site_fract_x
_atom_site_fract_y
_atom_site_fract_z
Tl1 Tl 0.139 0.139 0.000
Tl2 Tl 0.861 0.861 0.000
Zn1 Zn 0.500 0.500 0.000
Cl1 Cl 0.000 0.500 0.500
Cl2 Cl 0.347 0.347 0.000
Cl3 Cl 0.500 0.000 0.500
Cl4 Cl 0.653 0.653 0.000
# Symmetry ... I4/mmm (139)
# Calculated total energy ... -2.946 eV per atom
# E_form (uncorrected) ... -697 kJ/mol of formula units
# Distance to the lowest polymorph of the same formula ... 70 meV per atom

9.
# TlZnCl3 (PBE, relaxed)
data_TlZnCl3
_chemical_formula_sum 'Tl2 Zn2 Cl6'
_cell_length_a 8.996
_cell_length_b 8.996
_cell_length_c 9.004
_cell_angle_alpha 91.80
_cell_angle_beta 91.80
_cell_angle_gamma 23.01
_symmetry_space_group_name_H-M 'P 1'
_symmetry_Int_Tables_number 1
loop_
_symmetry_equiv_pos_as_xyz
'x,y,z'
loop_
_atom_site_label
_atom_site_type_symbol
_atom_site_fract_x
_atom_site_fract_y
_atom_site_fract_z
Tl1 Tl 0.191 0.191 0.226
Tl2 Tl 0.809 0.809 0.774
Zn1 Zn 0.413 0.413 0.270
Zn2 Zn 0.587 0.587 0.730
Cl1 Cl 0.004 0.004 0.257
Cl2 Cl 0.162 0.162 0.604
Cl3 Cl 0.344 0.344 0.047
Cl4 Cl 0.656 0.656 0.953
Cl5 Cl 0.838 0.838 0.396
Cl6 Cl 0.996 0.996 0.743
# Symmetry ... C2/m (12)
# Calculated total energy ... -2.856 eV per atom
# E_form (uncorrected) ... -492 kJ/mol of formula units
# Distance to the lowest polymorph of the same formula ... 100 meV per atom

10.
# TlZnCl3 (PBE, relaxed)
data_TlZnCl3
_chemical_formula_sum 'Tl1 Zn1 Cl3'
_cell_length_a 3.597
_cell_length_b 6.446
_cell_length_c 6.446
_cell_angle_alpha 94.21
_cell_angle_beta 90.00
_cell_angle_gamma 90.00
_symmetry_space_group_name_H-M 'P 1'
_symmetry_Int_Tables_number 1
loop_
_symmetry_equiv_pos_as_xyz
'x,y,z'
loop_
_atom_site_label
_atom_site_type_symbol
_atom_site_fract_x
_atom_site_fract_y
_atom_site_fract_z
Tl1 Tl 0.000 0.000 0.000
Zn1 Zn 0.500 0.524 0.524
Cl1 Cl 0.000 0.423 0.758
Cl2 Cl 0.000 0.758 0.423
Cl3 Cl 0.500 0.261 0.261
# Symmetry ... Amm2 (38)
# Calculated total energy ... -2.830 eV per atom
# E_form (uncorrected) ... -479 kJ/mol of formula units
# Distance to the lowest polymorph of the same formula ... 127 meV per atom

11.
# TlZnCl3 (PBE, relaxed)
data_TlZnCl3
_chemical_formula_sum 'Tl1 Zn1 Cl3'
_cell_length_a 5.635
_cell_length_b 5.635
_cell_length_c 5.425
_cell_angle_alpha 90.00
_cell_angle_beta 90.00
_cell_angle_gamma 90.00
_symmetry_space_group_name_H-M 'P 1'
_symmetry_Int_Tables_number 1
loop_
_symmetry_equiv_pos_as_xyz
'x,y,z'
loop_
_atom_site_label
_atom_site_type_symbol
_atom_site_fract_x
_atom_site_fract_y
_atom_site_fract_z
Tl1 Tl 0.000 0.000 0.000
Zn1 Zn 0.500 0.500 0.003
Cl1 Cl 0.000 0.000 0.501
Cl2 Cl 0.000 0.500 0.004
Cl3 Cl 0.500 0.000 0.004
# Symmetry ... P4mm (99)
# Calculated total energy ... -2.316 eV per atom
# E_form (uncorrected) ... -232 kJ/mol of formula units
# Distance to the lowest polymorph of the same formula ... 640 meV per atom

12.
# Tl2Zn2Cl (PBE, relaxed)
data_Tl2Zn2Cl
_chemical_formula_sum 'Tl2 Zn2 Cl1'
_cell_length_a 5.820
_cell_length_b 5.820
_cell_length_c 5.820
_cell_angle_alpha 122.36
_cell_angle_beta 122.36
_cell_angle_gamma 85.95
_symmetry_space_group_name_H-M 'P 1'
_symmetry_Int_Tables_number 1
loop_
_symmetry_equiv_pos_as_xyz
'x,y,z'
loop_
_atom_site_label
_atom_site_type_symbol
_atom_site_fract_x
_atom_site_fract_y
_atom_site_fract_z
Tl1 Tl 0.250 0.750 0.500
Tl2 Tl 0.750 0.250 0.500
Zn1 Zn 0.156 0.156 0.000
Zn2 Zn 0.844 0.844 0.000
Cl1 Cl 0.500 0.500 0.000
# Symmetry ... I4/mmm (139)
# Calculated total energy ... -1.875 eV per atom
# E_form (uncorrected) ... -24 kJ/mol of formula units
# Distance to the lowest polymorph of the same formula ... 60 meV per atom